Entry 1:
Computed, not measured: a geometry-optimized LaPm2Tm7 structure at the GGA-PBE level of DFT. Values from VASP.

Summary:
* final energy: -4.55 eV per atom

Quantum ESPRESSO input file:
```
&SYSTEM
  ibrav = 0, nat = 10, ntyp = 3
/
ATOMIC_SPECIES
La 138.91 La.upf
Pm 145.00 Pm.upf
Tm 168.93 Tm.upf
ATOMIC_POSITIONS crystal
La 0.0000 0.0000 0.0000
Pm 0.2032 0.7964 0.5990
Pm 0.7968 0.2036 0.4010
Tm 0.0000 0.5000 0.0000
Tm 0.1988 0.3018 0.5997
Tm 0.3998 0.1012 0.2002
Tm 0.4022 0.5975 0.1992
Tm 0.5978 0.4025 0.8008
Tm 0.6002 0.8988 0.7998
Tm 0.8012 0.6982 0.4003
CELL_PARAMETERS angstrom
6.1142 0.0000 0.0000
1.9708 6.8012 0.0000
2.0415 1.2883 7.5819
```

***

Entry 2:
Computed, not measured: a geometry-optimized LaPm3Tm2 structure at the GGA-PBE level of DFT. Values from VASP.

Summary:
* final energy: -4.41 eV per atom

Quantum ESPRESSO input file:
```
&SYSTEM
  ibrav = 0, nat = 12, ntyp = 3
/
ATOMIC_SPECIES
La 138.91 La.upf
Pm 145.00 Pm.upf
Tm 168.93 Tm.upf
ATOMIC_POSITIONS crystal
La 0.2465 0.7535 0.7500
La 0.7535 0.2465 0.2500
Pm 0.1392 0.3936 0.2500
Pm 0.3936 0.1392 0.7500
Pm 0.4078 0.5922 0.2500
Pm 0.5922 0.4078 0.7500
Pm 0.6064 0.8608 0.2500
Pm 0.8608 0.6064 0.7500
Tm 0.0145 0.2016 0.7500
Tm 0.2016 0.0145 0.2500
Tm 0.7984 0.9855 0.7500
Tm 0.9855 0.7984 0.2500
CELL_PARAMETERS angstrom
7.4228 -5.1053 0.0000
7.4228 5.1053 0.0000
0.0000 0.0000 5.6029
```

***

Number 1: energy relative to the lowest polymorph listed for this composition 0.00 eV per formula unit, D(E_F) 14.3 states/eV/cell, formation energy from the elements 0.0271 eV per atom. Number 2: energy relative to the lowest polymorph listed for this composition 0.00 eV per formula unit, D(E_F) 20.0 states/eV/cell, formation energy from the elements 0.2751 eV per atom.